A geometry-optimized RbBa2Au structure. Source: Alexandria, functional GGA-PBE.

For the polymorph energy (0 for the lowest one), the calculation gives 0.3663 eV/atom. For the density of states at the Fermi level, the calculation gives 21.96 states/eV per cell. As for the mass density: 5.6 g/cm3. For the energy of formation from the pure elements, the calculation gives -0.003 eV/atom.

It has space group Fm-3m (No. 225), with a = 8.7347 Å, b = 8.7347 Å, c = 8.7347 Å, α = 90.00°, β = 90.00° and γ = 90.00°. The inequivalent atoms are Rb at (0.0000, 0.0000, 0.0000), Ba at (0.2500, 0.2500, 0.2500) and Au at (0.0000, 0.0000, 0.5000).